(1)
This record from Alexandria describes a geometry-optimized TcSbTe2 structure. The functional is PBE-GGA.

Cell lengths 7.007, 7.007, 7.007 Å; angles 152.97, 139.53, 49.34 degrees
Fractional positions:
Tc  0.000  0.000  0.000
Sb  0.818  0.318  0.500
Te  0.169  0.669  0.500
Te  0.472  0.472  0.000

DOS(E_F) in states/eV/atom: 0.670
Crystal system: orthorhombic
Uncorrected formation energy in eV per atom: 0.205
Raw total energy in eV/f.u.: -19.952
Space-group type: Imm2 (44)

---

(2)
This record from Alexandria describes a geometry-optimized HoAg2SnS4 structure. The functional is PBE-GGA.

Cell lengths 6.618, 3.953, 6.902 Å; angles 90.00, 110.26, 90.00 degrees
Fractional positions:
Ho  0.000  0.000  0.000
Ag  0.500  0.000  0.500
Ag  0.500  0.500  0.000
Sn  0.000  0.500  0.500
S  0.241  0.500  0.248
S  0.249  0.000  0.752
S  0.751  0.000  0.248
S  0.759  0.500  0.752

DOS(E_F) in states/eV/atom: 0.170
Crystal system: monoclinic
Uncorrected formation energy in eV per atom: -0.759
Raw total energy in eV/f.u.: -36.865
Space-group type: P2/m (10)

---

(3)
This record from Alexandria describes a geometry-optimized YMgZr structure. The functional is PBE-GGA.

Cell lengths 7.243, 7.243, 7.243 Å; angles 153.08, 153.08, 38.43 degrees
Fractional positions:
Y  0.000  0.000  0.000
Mg  0.680  0.680  0.000
Zr  0.335  0.335  0.000

DOS(E_F) in states/eV/atom: 0.879
Crystal system: tetragonal
Energy above the most stable polymorph in this dataset in eV/atom: 0.006
Raw total energy in eV/f.u.: -16.578
Space-group type: I4mm (107)

---

(4)
This record from Alexandria describes a geometry-optimized AlZnSi structure. The functional is PBE-GGA.

Cell lengths 2.863, 2.863, 6.588 Å; angles 90.00, 90.00, 120.00 degrees
Fractional positions:
Al  0.000  0.000  0.000
Zn  0.667  0.333  0.659
Si  0.333  0.667  0.327

DOS(E_F) in states/eV/atom: 0.284
Crystal system: trigonal
Uncorrected formation energy in eV per atom: 0.197
Raw total energy in eV/f.u.: -9.850
Space-group type: P3m1 (156)

---

(5)
This record from Alexandria describes a geometry-optimized Li2Cu4Si structure. The functional is PBE-GGA.

Cell lengths 7.191, 7.191, 7.191 Å; angles 144.80, 144.80, 50.63 degrees
Fractional positions:
Li  0.124  0.124  0.000
Li  0.876  0.876  0.000
Cu  0.000  0.500  0.500
Cu  0.323  0.323  0.000
Cu  0.500  0.000  0.500
Cu  0.677  0.677  0.000
Si  0.500  0.500  0.000

DOS(E_F) in states/eV/atom: 0.330
Crystal system: tetragonal
Uncorrected formation energy in eV per atom: 0.325
Energy above the most stable polymorph in this dataset in eV/atom: 0.430
Raw total energy in eV/f.u.: -23.359
Space-group type: I4/mmm (139)

---

(6)
This record from Alexandria describes a geometry-optimized LiZn2BiS4 structure. The functional is PBE-GGA.

Cell lengths 7.089, 7.089, 7.089 Å; angles 133.24, 133.24, 68.28 degrees
Fractional positions:
Li  0.000  0.000  0.000
Zn  0.250  0.750  0.500
Zn  0.750  0.250  0.500
Bi  0.500  0.500  0.000
S  0.088  0.088  0.454
S  0.366  0.912  0.000
S  0.634  0.634  0.546
S  0.912  0.366  0.000

DOS(E_F) in states/eV/atom: 0.000
Crystal system: tetragonal
Uncorrected formation energy in eV per atom: -0.690
Raw total energy in eV/f.u.: -30.372
Space-group type: I-42m (121)

---

(7)
This record from Alexandria describes a geometry-optimized TaP3H structure. The functional is PBE-GGA.

Cell lengths 3.959, 3.959, 3.959 Å; angles 90.00, 90.00, 90.00 degrees
Fractional positions:
Ta  0.000  0.000  0.000
P  0.000  0.500  0.500
P  0.500  0.000  0.500
P  0.500  0.500  0.000
H  0.500  0.500  0.500

DOS(E_F) in states/eV/atom: 0.548
Crystal system: cubic
Energy above the most stable polymorph in this dataset in eV/atom: 0.000
Raw total energy in eV/f.u.: -28.352
Space-group type: Pm-3m (221)

---

(8)
This record from Alexandria describes a geometry-optimized La3RePt structure. The functional is PBE-GGA.

Cell lengths 5.418, 5.418, 5.418 Å; angles 90.00, 90.00, 90.00 degrees
Fractional positions:
La  0.000  0.000  0.500
La  0.000  0.500  0.000
La  0.500  0.000  0.000
Re  0.000  0.000  0.000
Pt  0.500  0.500  0.500

DOS(E_F) in states/eV/atom: 0.903
Crystal system: cubic
Energy above the most stable polymorph in this dataset in eV/atom: 0.000
Raw total energy in eV/f.u.: -32.531
Space-group type: Pm-3m (221)